# 1
DFT (PBE-GGA) results for a relaxed structure of SrHgGe.

Cell: 4.504 4.641 8.076 Å, 90.00 90.00 90.00°
Fractional positions:
Sr 0.000 0.000 0.000
Sr 0.000 0.500 0.500
Hg 0.500 0.000 0.325
Hg 0.500 0.000 0.675
Ge 0.500 0.500 0.155
Ge 0.500 0.500 0.845

M_tot: 0.00 μB per formula unit
space group: Pmmm

---

# 2
DFT (PBE-GGA) results for a relaxed structure of HoThI.

Cell: 3.718 5.912 9.035 Å, 90.00 94.74 90.00°
Fractional positions:
Ho 0.194 0.250 0.283
Ho 0.806 0.750 0.717
Th 0.341 0.750 0.045
Th 0.659 0.250 0.955
I 0.246 0.750 0.418
I 0.754 0.250 0.582

M_tot: 0.00 μB per formula unit
space group: P2_1/m
energy relative to the elements, uncorrected: -394 meV per atom
distance to the lowest polymorph of the same formula: 0.0 meV per atom

---

# 3
DFT (PBE-GGA) results for a relaxed structure of Cd2Hg12Pb5.

Cell: 9.604 9.604 5.982 Å, 100.13 100.13 74.93°
Fractional positions:
Cd 0.245 0.755 0.000
Cd 0.755 0.245 0.000
Hg 0.051 0.557 0.794
Hg 0.109 0.109 0.071
Hg 0.151 0.650 0.387
Hg 0.350 0.849 0.613
Hg 0.443 0.949 0.206
Hg 0.447 0.447 0.742
Hg 0.553 0.553 0.258
Hg 0.557 0.051 0.794
Hg 0.650 0.151 0.387
Hg 0.849 0.350 0.613
Hg 0.891 0.891 0.929
Hg 0.949 0.443 0.206
Pb 0.000 0.000 0.500
Pb 0.224 0.224 0.642
Pb 0.334 0.334 0.207
Pb 0.666 0.666 0.793
Pb 0.776 0.776 0.358

M_tot: 0.00 μB per formula unit
space group: C2/m

---

# 4
DFT (PBE-GGA) results for a relaxed structure of LuNpCo4.

Cell: 4.984 4.984 4.984 Å, 60.00 60.00 60.00°
Fractional positions:
Lu 0.000 0.000 0.000
Np 0.750 0.750 0.750
Co 0.375 0.375 0.375
Co 0.375 0.375 0.875
Co 0.375 0.875 0.375
Co 0.875 0.375 0.375

M_tot: 0.18 μB per formula unit
space group: F-43m

---

# 5
DFT (PBE-GGA) results for a relaxed structure of Pr5ThIr4.

Cell: 9.312 9.312 8.072 Å, 106.49 106.49 26.35°
Fractional positions:
Pr 0.000 0.000 0.000
Pr 0.334 0.334 0.632
Pr 0.336 0.336 0.153
Pr 0.664 0.664 0.847
Pr 0.666 0.666 0.368
Th 0.000 0.000 0.500
Ir 0.171 0.171 0.619
Ir 0.500 0.500 0.249
Ir 0.500 0.500 0.751
Ir 0.829 0.829 0.381

M_tot: 0.00 μB per formula unit
space group: C2/m

---

# 6
DFT (PBE-GGA) results for a relaxed structure of Ac2Pr7Ho4.

Cell: 6.379 6.379 13.337 Å, 90.00 90.00 120.00°
Fractional positions:
Ac 0.333 0.667 0.000
Ac 0.667 0.333 0.000
Pr 0.000 0.000 0.000
Pr 0.000 0.374 0.768
Pr 0.000 0.626 0.232
Pr 0.374 0.000 0.768
Pr 0.374 0.374 0.232
Pr 0.626 0.000 0.232
Pr 0.626 0.626 0.768
Ho 0.000 0.000 0.393
Ho 0.000 0.000 0.607
Ho 0.333 0.667 0.500
Ho 0.667 0.333 0.500

M_tot: 0.00 μB per formula unit
space group: P-31m

---

# 7
DFT (PBE-GGA) results for a relaxed structure of TaMn2AlRu.

Cell: 4.377 4.377 4.441 Å, 90.00 90.00 90.00°
Fractional positions:
Ta 0.000 0.000 0.000
Mn 0.000 0.500 0.500
Mn 0.500 0.000 0.500
Al 0.500 0.500 0.000
Ru 0.500 0.500 0.500

M_tot: 0.37 μB per formula unit
space group: P4/mmm

---

# 8
DFT (PBE-GGA) results for a relaxed structure of LaNiRu2.

Cell: 9.531 9.531 9.531 Å, 155.09 155.09 35.52°
Fractional positions:
La 0.000 0.000 0.000
La 0.750 0.250 0.500
Ni 0.250 0.750 0.500
Ni 0.500 0.500 0.000
Ru 0.217 0.625 0.092
Ru 0.375 0.467 0.592
Ru 0.533 0.125 0.908
Ru 0.875 0.783 0.408

M_tot: 0.00 μB per formula unit
space group: I-42d
distance to the lowest polymorph of the same formula: 361.0 meV per atom

---

# 9
DFT (PBE-GGA) results for a relaxed structure of RbCeN2.

Cell: 7.077 7.077 7.077 Å, 29.93 29.93 29.93°
Fractional positions:
Rb 0.000 0.000 0.000
Ce 0.500 0.500 0.500
N 0.221 0.221 0.221
N 0.779 0.779 0.779

M_tot: 1.04 μB per formula unit
space group: R-3m
energy relative to the elements, uncorrected: -499 meV per atom

---

# 10
DFT (PBE-GGA) results for a relaxed structure of ZrMo2.

Cell: 7.254 7.037 2.889 Å, 82.60 74.13 23.27°
Fractional positions:
Zr 0.000 0.000 0.000
Mo 0.325 0.325 0.675
Mo 0.675 0.675 0.325

M_tot: 0.00 μB per formula unit
space group: Fmmm
distance to the lowest polymorph of the same formula: 205.7 meV per atom

---

# 11
DFT (PBE-GGA) results for a relaxed structure of SrSi2Ag.

Cell: 4.034 4.383 5.532 Å, 90.00 97.82 90.00°
Fractional positions:
Sr 0.000 0.000 0.000
Si 0.270 0.500 0.639
Si 0.730 0.500 0.361
Ag 0.500 0.000 0.500

M_tot: 0.00 μB per formula unit
space group: P2/m
energy relative to the elements, uncorrected: -116 meV per atom

---

# 12
DFT (PBE-GGA) results for a relaxed structure of BeZnSe2.

Cell: 3.434 3.460 8.650 Å, 90.00 90.00 90.00°
Fractional positions:
Be 0.000 0.000 0.000
Zn 0.000 0.500 0.500
Se 0.500 0.000 0.500
Se 0.500 0.500 0.000

M_tot: 0.00 μB per formula unit
space group: Pmmm
energy relative to the elements, uncorrected: -17 meV per atom
distance to the lowest polymorph of the same formula: 729.1 meV per atom

---

| no. | electronic total energy (eV per cell) |
| --- | --- |
| 1 | -15.80 |
| 2 | -29.46 |
| 3 | -23.25 |
| 4 | -46.87 |
| 5 | -72.55 |
| 6 | -57.36 |
| 7 | -37.07 |
| 8 | -56.16 |
| 9 | -25.55 |
| 10 | -30.04 |
| 11 | -15.84 |
| 12 | -12.04 |